{"formula": "RbLi2MnF", "functional": "PBE+U", "state": "relaxed", "cell": [[4.909, 0.000, 0.000], [0.000, 5.666, 0.000], [0.000, 0.000, 4.909]], "species": ["Mn", "Li", "Li", "Rb", "F"], "fractional_positions": [[0.000, 0.500, 0.000], [0.000, 0.000, 0.500], [0.500, 0.000, 0.000], [0.500, 0.500, 0.500], [0.000, 0.000, 0.000]], "energy_ev_per_atom": -3.15, "magmom_total_mub_per_cell": 5.0, "sg": "P4/mmm, No. 123"}